KBa2ZnAu after structural relaxation. Source: Alexandria via LeMat-Bulk, functional PBE.

Results
energy relative to the elements	-0.87	eV per formula unit
V	220.69	Å³ per cell

Cell lengths 6.550, 6.550, 5.145 Å; angles 90.00, 90.00, 90.00 degrees
Sites, in units of the cell vectors:
Ba (0.000, 0.500, 0.000)
K (0.500, 0.500, 0.500)
Ba (0.500, 0.000, 0.000)
Zn (0.000, 0.000, 0.500)
Au (0.000, 0.000, 0.000)

ZnIr2Pt after structural relaxation. Source: Alexandria via LeMat-Bulk, functional PBE.

Results
energy relative to the elements	0.08	eV per formula unit
V	58.82	Å³ per cell

Cell lengths 2.780, 3.842, 5.506 Å; angles 90.00, 90.00, 90.00 degrees
Sites, in units of the cell vectors:
Pt (0.500, 0.500, 0.250)
Zn (0.500, 0.500, 0.750)
Ir (0.000, 0.000, 0.507)
Ir (0.000, 0.000, 0.993)

Rb5Ga2Bi5 after structural relaxation. Source: Alexandria via LeMat-Bulk, functional PBE.

Results
energy relative to the elements	-2.44	eV per formula unit
V	561.64	Å³ per cell

Cell lengths 5.333, 10.338, 16.626 Å; angles 138.33, 90.00, 104.95 degrees
Sites, in units of the cell vectors:
Bi (0.044, 0.088, 0.365)
Rb (0.349, 0.698, 0.705)
Ga (0.042, 0.084, 0.868)
Rb (0.651, 0.302, 0.295)
Rb (0.278, 0.555, 0.882)
Rb (0.500, 0.000, 0.500)
Bi (0.414, 0.828, 0.209)
Bi (0.586, 0.172, 0.791)
Ga (0.958, 0.916, 0.132)
Bi (0.956, 0.912, 0.635)
Rb (0.722, 0.445, 0.118)
Bi (0.000, 0.000, 0.000)

Hg2H8C2NCl5 after structural relaxation. Source: Alexandria via LeMat-Bulk, functional PBE.

Results
V	1281.63	Å³ per cell
E_tot	-286.356	eV for the cell shown

Cell lengths 7.371, 10.640, 16.729 Å; angles 102.35, 90.00, 90.00 degrees
Sites, in units of the cell vectors:
Cl (0.235, 0.582, 0.018)
Cl (0.547, 0.134, 0.729)
H (0.774, 0.882, 0.823)
Cl (0.718, 0.785, 0.061)
H (0.226, 0.118, 0.177)
H (0.814, 0.630, 0.435)
Cl (0.027, 0.985, 0.702)
Hg (0.883, 0.154, 0.651)
N (0.184, 0.545, 0.653)
C (0.481, 0.102, 0.123)
H (0.686, 0.130, 0.935)
H (0.539, 0.172, 0.174)
H (0.961, 0.672, 0.674)
C (0.019, 0.602, 0.623)
H (0.853, 0.501, 0.300)
H (0.314, 0.870, 0.065)
Cl (0.989, 0.732, 0.846)
H (0.102, 0.913, 0.116)
Cl (0.973, 0.015, 0.298)
C (0.779, 0.051, 0.911)
N (0.684, 0.955, 0.847)
H (0.461, 0.828, 0.826)
H (0.820, 0.004, 0.960)
Cl (0.511, 0.232, 0.346)
H (0.558, 0.851, 0.926)
H (0.647, 0.001, 0.800)
H (0.274, 0.618, 0.677)
Cl (0.453, 0.866, 0.271)
Hg (0.623, 0.059, 0.401)
H (0.942, 0.351, 0.426)
Hg (0.377, 0.941, 0.599)
H (0.039, 0.328, 0.326)
H (0.442, 0.149, 0.074)
Cl (0.282, 0.215, 0.939)
Hg (0.383, 0.346, 0.849)
N (0.316, 0.045, 0.153)
H (0.147, 0.499, 0.700)
Cl (0.473, 0.485, 0.202)
H (0.353, 0.999, 0.200)
Cl (0.782, 0.285, 0.561)
Hg (0.123, 0.441, 0.099)
Hg (0.877, 0.559, 0.901)
C (0.519, 0.898, 0.877)
H (0.078, 0.476, 0.398)
N (0.816, 0.455, 0.347)
Cl (0.765, 0.418, 0.982)
Hg (0.117, 0.846, 0.349)
H (0.726, 0.382, 0.323)
H (0.578, 0.024, 0.102)
Hg (0.617, 0.654, 0.151)
H (0.680, 0.504, 0.460)
Cl (0.047, 0.366, 0.771)
C (0.721, 0.551, 0.411)
H (0.180, 0.996, 0.040)
H (0.186, 0.370, 0.565)
Cl (0.489, 0.768, 0.654)
Cl (0.953, 0.634, 0.229)
H (0.320, 0.496, 0.540)
C (0.221, 0.949, 0.089)
Cl (0.527, 0.515, 0.798)
C (0.279, 0.449, 0.589)
H (0.922, 0.524, 0.602)
Cl (0.218, 0.715, 0.439)
Cl (0.735, 0.918, 0.482)
C (0.981, 0.398, 0.377)
H (0.058, 0.649, 0.574)
H (0.422, 0.976, 0.898)
H (0.398, 0.413, 0.616)
Cl (0.011, 0.268, 0.154)
Cl (0.265, 0.082, 0.518)
H (0.602, 0.587, 0.384)
H (0.898, 0.087, 0.884)

Cs4NpTl3Br12 after structural relaxation. Source: Alexandria via LeMat-Bulk, functional PBE.

Results
E_form (uncorrected)	-1.2902	eV/atom
V	870.88	Å³ per cell

Cell lengths 10.420, 10.420, 10.420 Å; angles 109.47, 109.47, 109.47 degrees
Sites, in units of the cell vectors:
Br (0.768, 0.000, 0.768)
Tl (0.500, 0.500, 0.000)
Tl (0.000, 0.500, 0.500)
Cs (0.500, 0.000, 0.000)
Br (0.250, 0.500, 0.750)
Br (0.250, 0.750, 0.500)
Np (0.000, 0.000, 0.000)
Br (0.232, 0.232, 0.000)
Br (0.500, 0.750, 0.250)
Br (0.000, 0.232, 0.232)
Cs (0.000, 0.500, 0.000)
Tl (0.500, 0.000, 0.500)
Br (0.768, 0.768, 0.000)
Br (0.500, 0.250, 0.750)
Cs (0.000, 0.000, 0.500)
Cs (0.500, 0.500, 0.500)
Br (0.000, 0.768, 0.768)
Br (0.750, 0.500, 0.250)
Br (0.750, 0.250, 0.500)
Br (0.232, 0.000, 0.232)

ZnCd2Hg8 after structural relaxation. Source: Alexandria via LeMat-Bulk, functional PBE.

Results
energy relative to the elements	0.41	eV per formula unit
polymorph energy (0 for the lowest one)	0.0026	eV/atom
V	277.59	Å³ per cell

Cell lengths 5.250, 6.413, 9.099 Å; angles 108.00, 106.77, 90.00 degrees
Sites, in units of the cell vectors:
Hg (0.656, 0.993, 0.312)
Hg (0.591, 0.463, 0.181)
Cd (0.170, 0.716, 0.339)
Hg (0.999, 0.240, 0.999)
Hg (0.792, 0.714, 0.584)
Hg (0.409, 0.537, 0.819)
Cd (0.830, 0.284, 0.661)
Hg (0.001, 0.760, 0.001)
Zn (0.500, 0.000, 0.000)
Hg (0.208, 0.286, 0.416)
Hg (0.344, 0.007, 0.688)